A plane-wave DFT calculation with PBE-GGA was carried out for AlRePt2 after structural relaxation.

Unit cell a=2.8258 b=2.8258 c=7.5311 alpha=90.00 beta=90.00 gamma=90.00
Element x y z (fractional)
Pt: 0.5000 0.5000 0.2649
Pt: 0.0000 0.0000 0.9762
Al: 0.5000 0.5000 0.7566
Re: 0.0000 0.0000 0.5023

electronic total energy = -7.44 eV/atom
energy of formation = -145 kJ/mol of formula units

---

A plane-wave DFT calculation with PBE-GGA was carried out for AlRePt2 after structural relaxation.

Unit cell a=4.7431 b=4.7431 c=4.8364 alpha=80.91 beta=80.91 gamma=34.17
Element x y z (fractional)
Pt: 0.5017 0.5017 0.5025
Pt: 0.9983 0.9983 0.9975
Al: 0.2500 0.2500 0.2500
Re: 0.7500 0.7500 0.7500

electronic total energy = -7.34 eV/atom
energy of formation = -106 kJ/mol of formula units

---

A plane-wave DFT calculation with PBE-GGA was carried out for AlRePt3 after structural relaxation.

Unit cell a=4.8416 b=4.8416 c=4.8416 alpha=90.00 beta=90.00 gamma=90.00
Element x y z (fractional)
Pt: 0.0000 0.0000 0.5000
Pt: 0.5000 0.0000 0.0000
Pt: 0.0000 0.5000 0.0000
Re: 0.0000 0.0000 0.0000
Al: 0.5000 0.5000 0.5000

electronic total energy = -5.74 eV/atom
energy of formation = 541 kJ/mol of formula units

---

A plane-wave DFT calculation with PBE-GGA was carried out for AlRePt2 after structural relaxation.

Unit cell a=8.8314 b=8.8314 c=8.8314 alpha=18.39 beta=18.39 gamma=18.39
Element x y z (fractional)
Pt: 0.0042 0.0042 0.0042
Pt: 0.4958 0.4958 0.4958
Al: 0.7500 0.7500 0.7500
Re: 0.2500 0.2500 0.2500

electronic total energy = -7.42 eV/atom
energy of formation = -135 kJ/mol of formula units

---

A plane-wave DFT calculation with PBE-GGA was carried out for AlRePt2 after structural relaxation.

Unit cell a=4.8034 b=4.8034 c=4.8861 alpha=77.46 beta=77.46 gamma=33.24
Element x y z (fractional)
Pt: 0.9842 0.9842 0.0294
Pt: 0.7573 0.7573 0.7248
Re: 0.5131 0.5131 0.5225
Al: 0.2453 0.2453 0.2232

electronic total energy = -7.46 eV/atom
energy of formation = -153 kJ/mol of formula units

---

A plane-wave DFT calculation with PBE-GGA was carried out for AlRe2Pt after structural relaxation.

Unit cell a=4.7017 b=4.7017 c=4.8732 alpha=82.49 beta=82.49 gamma=34.26
Element x y z (fractional)
Re: 0.7479 0.7479 0.7748
Re: 0.9990 0.9990 0.9673
Pt: 0.2501 0.2501 0.2808
Al: 0.5029 0.5029 0.4771

electronic total energy = -8.84 eV/atom
energy of formation = -67 kJ/mol of formula units

---

A plane-wave DFT calculation with PBE-GGA was carried out for AlRe2Pt after structural relaxation.

Unit cell a=9.0932 b=9.0932 c=9.0932 alpha=17.57 beta=17.57 gamma=17.57
Element x y z (fractional)
Al: 0.2500 0.2500 0.2500
Pt: 0.7500 0.7500 0.7500
Re: 0.9986 0.9986 0.9986
Re: 0.5014 0.5014 0.5014

electronic total energy = -8.72 eV/atom
energy of formation = -20 kJ/mol of formula units

---

A plane-wave DFT calculation with PBE-GGA was carried out for AlRe2Pt after structural relaxation.

Unit cell a=2.7205 b=2.7205 c=8.0353 alpha=90.00 beta=90.00 gamma=90.00
Element x y z (fractional)
Re: 0.0000 0.0000 0.0035
Re: 0.0000 0.0000 0.4965
Al: 0.5000 0.5000 0.2500
Pt: 0.5000 0.5000 0.7500

electronic total energy = -8.68 eV/atom
energy of formation = -6 kJ/mol of formula units

---

A plane-wave DFT calculation with PBE-GGA was carried out for AlRe2Pt after structural relaxation.

Unit cell a=4.3899 b=4.3899 c=4.3899 alpha=60.00 beta=60.00 gamma=60.00
Element x y z (fractional)
Re: 0.7500 0.7500 0.7500
Re: 0.2500 0.2500 0.2500
Pt: 0.5000 0.5000 0.5000
Al: 0.0000 0.0000 0.0000

electronic total energy = -8.52 eV/atom
energy of formation = 57 kJ/mol of formula units

---

A plane-wave DFT calculation with PBE-GGA was carried out for AlRePt after structural relaxation.

Unit cell a=4.2111 b=4.2111 c=4.2111 alpha=60.00 beta=60.00 gamma=60.00
Element x y z (fractional)
Pt: 0.2500 0.2500 0.2500
Re: 0.0000 0.0000 0.0000
Al: 0.5000 0.5000 0.5000

electronic total energy = -7.27 eV/atom
energy of formation = 42 kJ/mol of formula units

---

A plane-wave DFT calculation with PBE-GGA was carried out for AlRePt2 after structural relaxation.

Unit cell a=3.8427 b=3.8562 c=4.0482 alpha=90.00 beta=90.00 gamma=90.00
Element x y z (fractional)
Re: 0.5000 0.0000 0.5000
Pt: 0.0000 0.0000 0.0000
Pt: 0.5000 0.5000 0.0000
Al: 0.0000 0.5000 0.5000

electronic total energy = -7.30 eV/atom
energy of formation = -90 kJ/mol of formula units

---

A plane-wave DFT calculation with PBE-GGA was carried out for AlRePt after structural relaxation.

Unit cell a=4.3455 b=4.3455 c=2.7368 alpha=90.00 beta=90.00 gamma=120.00
Element x y z (fractional)
Re: 0.3333 0.6667 0.6666
Pt: 0.6667 0.3333 0.1668
Al: 0.0000 0.0000 0.1666

electronic total energy = -7.55 eV/atom
energy of formation = -39 kJ/mol of formula units

---

Question: Which value of electronic total energy does entry 8 give?
Answer: -8.68 eV/atom

---

Question: Which of these has the highest electronic total energy?
Answer: AlRePt3

---

Question: The highest electronic total energy belongs to which entry?
Answer: AlRePt3